HfZn2C: optimized geometry, GGA-PBE.

Unit cell a=5.5411 b=5.5411 c=5.5411 alpha=99.74 beta=99.74 gamma=131.43
Closest atoms and distances in Å follow each position.
Fractional positions:
Hf: 0.0000 0.0000 0.0000  2 C 2.28
Hf: 0.7500 0.2500 0.5000  2 C 2.28
Zn: 0.2041 0.6250 0.0791  2 C 2.24
Zn: 0.3750 0.4541 0.5791  2 C 2.24
Zn: 0.5459 0.1250 0.9209  2 C 2.24
Zn: 0.8750 0.7959 0.4209  2 C 2.24
C: 0.2500 0.7500 0.5000  4 Zn 2.24, 2 Hf 2.28
C: 0.5000 0.5000 0.0000  4 Zn 2.24, 2 Hf 2.28

Results
As for the symmetry: No. 122.



TbPmErTl: optimized geometry, GGA-PBE.

Unit cell a=5.4906 b=5.4906 c=5.4906 alpha=60.00 beta=60.00 gamma=60.00
Closest atoms and distances in Å follow each position.
Fractional positions:
Tb: 0.0000 0.0000 0.0000  4 Tl 3.36, 4 Pm 3.36
Pm: 0.2500 0.2500 0.2500  4 Tb 3.36, 4 Er 3.36
Er: 0.5000 0.5000 0.5000  4 Tl 3.36, 4 Pm 3.36
Tl: 0.7500 0.7500 0.7500  4 Tb 3.36, 4 Er 3.36

Results
As for the symmetry: No. 216.



So what do the calculations give for energy of formation from the pure elements? Going down the list: 278.1, -4.4 meV per atom.
So what do the calculations give for total energy? Going down the list: -5.153, -4.082 eV/atom.